A plane-wave DFT calculation with PBE was carried out for a relaxed structure of K2NiPd2.

Summary:
The formation energy comes out at 249 meV/atom. Its symmetry is P4/mbm (127).

Geometry as POSCAR:
```
K2NiPd2
1.0
6.548 0.000 0.000
0.000 6.548 0.000
0.000 0.000 5.373
K Ni Pd
4 2 4
Direct
0.179 0.321 0.000
0.321 0.821 0.000
0.679 0.179 0.000
0.821 0.679 0.000
0.000 0.000 0.500
0.500 0.500 0.500
0.144 0.644 0.500
0.356 0.144 0.500
0.644 0.856 0.500
0.856 0.356 0.500
```